# 1
# NaNiF | Alexandria via LeMat-Bulk | GGA+U | relaxed
# V = 15.42 A^3/atom
# Crystal system = orthorhombic
# Distance to the lowest polymorph of the same formula = 0.397 eV/atom
data_NaNiF
_cell_length_a 5.299
_cell_length_b 6.472
_cell_length_c 5.395
_cell_angle_alpha 90.00
_cell_angle_beta 90.00
_cell_angle_gamma 90.00
_symmetry_space_group_name_H-M 'I m m a'
_symmetry_Int_Tables_number 74
_symmetry_space_group_name_Hall '-I 2b 2'
loop_
_atom_site_label
_atom_site_fract_x
_atom_site_fract_y
_atom_site_fract_z
_atom_site_occupancy
Na1 0.000 0.000 0.000 1
Ni1 0.000 0.250 0.456 1
F1 0.250 0.250 0.750 1


# 2
# NaNi2F6 | Alexandria via LeMat-Bulk | GGA+U | relaxed
# VASP energy = -4.046 eV per atom
# V = 12.70 A^3/atom
# Crystal system = trigonal
data_NaNi2F6
_cell_length_a 5.1997
_cell_length_b 5.1997
_cell_length_c 4.8826
_cell_angle_alpha 90.00
_cell_angle_beta 90.00
_cell_angle_gamma 120.00
_symmetry_space_group_name_H-M 'P -3 1 m'
_symmetry_Int_Tables_number 162
_symmetry_space_group_name_Hall '-P 3 2'
loop_
_atom_site_label
_atom_site_fract_x
_atom_site_fract_y
_atom_site_fract_z
_atom_site_occupancy
Na1 0.0000 0.0000 0.0000 1
Ni1 0.3333 0.6667 0.5000 1
F1 0.0000 0.3592 0.7140 1


# 3
# NaNi2F | Alexandria via LeMat-Bulk | GGA+U | relaxed
# V = 19.88 A^3/atom
# Crystal system = tetragonal
# Distance to the lowest polymorph of the same formula = 0.000 eV/atom
data_NaNi2F
_cell_length_a 4.788
_cell_length_b 4.788
_cell_length_c 13.876
_cell_angle_alpha 90.00
_cell_angle_beta 90.00
_cell_angle_gamma 90.00
_symmetry_space_group_name_H-M 'I 41/a m d'
_symmetry_Int_Tables_number 141
loop_
_symmetry_equiv_pos_as_xyz
'x,y,z'
'-x,-y,-z'
'-y+1/4,x+3/4,z+1/4'
'y+1/4,-x+3/4,-z+1/4'
'-x+1/2,-y,z+1/2'
'x+1/2,y,-z+1/2'
'y+1/4,-x+1/4,z+3/4'
'-y+1/4,x+1/4,-z+3/4'
'x,-y,-z'
'-x,y,z'
'-y+1/4,-x+1/4,-z+3/4'
'y+1/4,x+1/4,z+3/4'
'-x+1/2,y,-z+1/2'
'x+1/2,-y,z+1/2'
'y+1/4,x+3/4,-z+1/4'
'-y+1/4,-x+3/4,z+1/4'
'x+1/2,y+1/2,z+1/2'
'-x+1/2,-y+1/2,-z+1/2'
'-y+3/4,x+1/4,z+3/4'
'y+3/4,-x+1/4,-z+3/4'
'-x,-y+1/2,z'
'x,y+1/2,-z'
'y+3/4,-x+3/4,z+1/4'
'-y+3/4,x+3/4,-z+1/4'
'x+1/2,-y+1/2,-z+1/2'
'-x+1/2,y+1/2,z+1/2'
'-y+3/4,-x+3/4,-z+1/4'
'y+3/4,x+3/4,z+1/4'
'-x,y+1/2,-z'
'x,-y+1/2,z'
'y+3/4,x+1/4,-z+3/4'
'-y+3/4,-x+1/4,z+3/4'
loop_
_atom_site_label
_atom_site_fract_x
_atom_site_fract_y
_atom_site_fract_z
_atom_site_occupancy
Na1 0.000 0.250 0.375 1
Ni1 0.000 0.000 0.000 1
F1 0.000 0.250 0.875 1


# 4
# Na5Ni3F12 | Alexandria via LeMat-Bulk | GGA+U | relaxed
# VASP energy = -4.212 eV per atom
# V = 12.21 A^3/atom
# Crystal system = hexagonal
data_Na5Ni3F12
_cell_length_a 9.4920
_cell_length_b 9.4920
_cell_length_c 3.1294
_cell_angle_alpha 90.00
_cell_angle_beta 90.00
_cell_angle_gamma 120.00
_symmetry_space_group_name_H-M 'P -6 2 m'
_symmetry_Int_Tables_number 189
_symmetry_space_group_name_Hall 'P -6 -2'
loop_
_atom_site_label
_atom_site_fract_x
_atom_site_fract_y
_atom_site_fract_z
_atom_site_occupancy
Na1 0.0000 0.7097 0.0000 1
Na2 0.3333 0.6667 0.0000 1
Ni1 0.0000 0.3312 0.5000 1
F1 0.0000 0.1936 0.0000 1
F2 0.0000 0.4646 0.0000 1
F3 0.2070 0.7635 0.5000 1


# 5
# NaNi4F10 | Alexandria via LeMat-Bulk | GGA+U | relaxed
# VASP energy = -4.019 eV per atom
# V = 14.91 A^3/atom
# Crystal system = orthorhombic
data_NaNi4F10
_cell_length_a 4.001
_cell_length_b 6.614
_cell_length_c 8.456
_cell_angle_alpha 90.00
_cell_angle_beta 90.00
_cell_angle_gamma 90.00
_symmetry_space_group_name_H-M 'P m m 2'
_symmetry_Int_Tables_number 25
loop_
_symmetry_equiv_pos_as_xyz
'x,y,z'
'-x,-y,z'
'-x,y,z'
'x,-y,z'
loop_
_atom_site_label
_atom_site_fract_x
_atom_site_fract_y
_atom_site_fract_z
_atom_site_occupancy
Na1 0.000 0.000 0.000 1
Ni1 0.000 0.000 0.614 1
Ni2 0.000 0.500 0.785 1
Ni3 0.500 0.000 0.330 1
Ni4 0.500 0.500 0.486 1
F1 0.000 0.000 0.376 1
F2 0.000 0.201 0.779 1
F3 0.000 0.500 0.003 1
F4 0.000 0.500 0.535 1
F5 0.500 0.000 0.107 1
F6 0.500 0.000 0.573 1
F7 0.500 0.288 0.331 1
F8 0.500 0.500 0.727 1


# 6
# NaNiF2 | Alexandria via LeMat-Bulk | GGA+U | relaxed
# V = 12.91 A^3/atom
# Crystal system = tetragonal
# Distance to the lowest polymorph of the same formula = 0.002 eV/atom
data_NaNiF2
_cell_length_a 5.755
_cell_length_b 5.755
_cell_length_c 6.239
_cell_angle_alpha 90.00
_cell_angle_beta 90.00
_cell_angle_gamma 90.00
_symmetry_space_group_name_H-M 'I -4 2 d'
_symmetry_Int_Tables_number 122
_symmetry_space_group_name_Hall 'I -4 2bw'
loop_
_atom_site_label
_atom_site_fract_x
_atom_site_fract_y
_atom_site_fract_z
_atom_site_occupancy
Na1 0.000 0.000 0.000 1
Ni1 0.000 0.000 0.500 1
F1 0.229 0.750 0.625 1


# 7
# NaNiF2 | Alexandria via LeMat-Bulk | GGA+U | relaxed
# V = 14.48 A^3/atom
# Crystal system = trigonal
# Distance to the lowest polymorph of the same formula = 0.000 eV/atom
data_NaNiF2
_cell_length_a 3.2574
_cell_length_b 3.2574
_cell_length_c 18.9106
_cell_angle_alpha 90.00
_cell_angle_beta 90.00
_cell_angle_gamma 120.00
_symmetry_space_group_name_H-M 'R -3 m'
_symmetry_Int_Tables_number 166
_symmetry_space_group_name_Hall '-R 3 2"'
loop_
_atom_site_label
_atom_site_fract_x
_atom_site_fract_y
_atom_site_fract_z
_atom_site_occupancy
Na1 0.0000 0.0000 0.0000 1
Ni1 0.0000 0.0000 0.5000 1
F1 0.0000 0.0000 0.4008 1


# 8
# Na2NiF8 | Alexandria via LeMat-Bulk | GGA+U | relaxed
# VASP energy = -3.511 eV per atom
# V = 13.60 A^3/atom
# Crystal system = monoclinic
data_Na2NiF8
_cell_length_a 9.854
_cell_length_b 6.486
_cell_length_c 5.470
_cell_angle_alpha 90.00
_cell_angle_beta 121.13
_cell_angle_gamma 90.00
_symmetry_space_group_name_H-M 'C 1 2/m 1'
_symmetry_Int_Tables_number 12
loop_
_symmetry_equiv_pos_as_xyz
'x,y,z'
'-x,-y,-z'
'-x,y,-z'
'x,-y,z'
'x+1/2,y+1/2,z'
'-x+1/2,-y+1/2,-z'
'-x+1/2,y+1/2,-z'
'x+1/2,-y+1/2,z'
loop_
_atom_site_label
_atom_site_fract_x
_atom_site_fract_y
_atom_site_fract_z
_atom_site_occupancy
Na1 0.230 0.000 0.325 1
Ni1 0.000 0.500 0.000 1
F1 0.082 0.000 0.624 1
F2 0.094 0.305 0.271 1
F3 0.171 0.500 0.962 1


# 9
# Na3NiF6 | Alexandria via LeMat-Bulk | GGA+U | relaxed
# V = 13.31 A^3/atom
# Crystal system = cubic
# Distance to the lowest polymorph of the same formula = 0.114 eV/atom
data_Na3NiF6
_cell_length_a 8.106
_cell_length_b 8.106
_cell_length_c 8.106
_cell_angle_alpha 90.00
_cell_angle_beta 90.00
_cell_angle_gamma 90.00
_symmetry_space_group_name_H-M 'F m -3 m'
_symmetry_Int_Tables_number 225
_symmetry_space_group_name_Hall '-F 4 2 3'
loop_
_atom_site_label
_atom_site_fract_x
_atom_site_fract_y
_atom_site_fract_z
_atom_site_occupancy
Na1 0.000 0.000 0.000 1
Na2 0.250 0.250 0.250 1
Ni1 0.000 0.000 0.500 1
F1 0.000 0.000 0.267 1


# 10
# NaNiOF2 | Alexandria via LeMat-Bulk | GGA+U | relaxed
# V = 13.14 A^3/atom
# Crystal system = tetragonal
# Distance to the lowest polymorph of the same formula = 1.056 eV/atom
data_NaNiOF2
_cell_length_a 3.950
_cell_length_b 3.950
_cell_length_c 4.212
_cell_angle_alpha 90.00
_cell_angle_beta 90.00
_cell_angle_gamma 90.00
_symmetry_space_group_name_H-M 'P 4/m m m'
_symmetry_Int_Tables_number 123
_symmetry_space_group_name_Hall '-P 4 2'
loop_
_atom_site_label
_atom_site_fract_x
_atom_site_fract_y
_atom_site_fract_z
_atom_site_occupancy
Na1 0.000 0.000 0.000 1
Ni1 0.500 0.500 0.500 1
O1 0.000 0.000 0.500 1
F1 0.000 0.500 0.000 1


# 11
# NaNiOF2 | Alexandria via LeMat-Bulk | GGA+U | relaxed
# V = 12.14 A^3/atom
# Crystal system = tetragonal
# Distance to the lowest polymorph of the same formula = 0.000 eV/atom
data_NaNiOF2
_cell_length_a 4.040
_cell_length_b 4.040
_cell_length_c 3.720
_cell_angle_alpha 90.00
_cell_angle_beta 90.00
_cell_angle_gamma 90.00
_symmetry_space_group_name_H-M 'P 4/m m m'
_symmetry_Int_Tables_number 123
_symmetry_space_group_name_Hall '-P 4 2'
loop_
_atom_site_label
_atom_site_fract_x
_atom_site_fract_y
_atom_site_fract_z
_atom_site_occupancy
Na1 0.000 0.000 0.000 1
Ni1 0.500 0.500 0.500 1
O1 0.500 0.500 0.000 1
F1 0.000 0.500 0.500 1


# 12
# NaNiO2F | Alexandria via LeMat-Bulk | GGA+U | relaxed
# VASP energy = -3.018 eV per atom
# V = 13.14 A^3/atom
# Crystal system = tetragonal
data_NaNiO2F
_cell_length_a 4.073
_cell_length_b 4.073
_cell_length_c 3.961
_cell_angle_alpha 90.00
_cell_angle_beta 90.00
_cell_angle_gamma 90.00
_symmetry_space_group_name_H-M 'P 4/m m m'
_symmetry_Int_Tables_number 123
_symmetry_space_group_name_Hall '-P 4 2'
loop_
_atom_site_label
_atom_site_fract_x
_atom_site_fract_y
_atom_site_fract_z
_atom_site_occupancy
Na1 0.000 0.000 0.000 1
Ni1 0.500 0.500 0.500 1
O1 0.000 0.500 0.000 1
F1 0.000 0.000 0.500 1


# 13
# NaNiO2F | Alexandria via LeMat-Bulk | GGA+U | relaxed
# VASP energy = -4.203 eV per atom
# V = 11.60 A^3/atom
# Crystal system = tetragonal
data_NaNiO2F
_cell_length_a 3.729
_cell_length_b 3.729
_cell_length_c 4.171
_cell_angle_alpha 90.00
_cell_angle_beta 90.00
_cell_angle_gamma 90.00
_symmetry_space_group_name_H-M 'P 4/m m m'
_symmetry_Int_Tables_number 123
_symmetry_space_group_name_Hall '-P 4 2'
loop_
_atom_site_label
_atom_site_fract_x
_atom_site_fract_y
_atom_site_fract_z
_atom_site_occupancy
Na1 0.000 0.000 0.000 1
Ni1 0.500 0.500 0.500 1
O1 0.000 0.500 0.500 1
F1 0.500 0.500 0.000 1


# 14
# Na2PaNiF8 | Alexandria via LeMat-Bulk | GGA+U | relaxed
# VASP energy = -5.481 eV per atom
# V = 14.26 A^3/atom
# Crystal system = triclinic
data_Na2PaNiF8
_cell_length_a 3.942
_cell_length_b 5.417
_cell_length_c 8.030
_cell_angle_alpha 86.67
_cell_angle_beta 89.58
_cell_angle_gamma 88.12
_symmetry_space_group_name_H-M 'P -1'
_symmetry_Int_Tables_number 2
loop_
_symmetry_equiv_pos_as_xyz
'x,y,z'
'-x,-y,-z'
loop_
_atom_site_label
_atom_site_fract_x
_atom_site_fract_y
_atom_site_fract_z
_atom_site_occupancy
Na1 0.009 0.037 0.211 1
Pa1 0.500 0.500 0.500 1
Ni1 0.500 0.500 0.000 1
F1 0.006 0.718 0.549 1
F2 0.110 0.731 0.032 1
F3 0.477 0.350 0.236 1
F4 0.481 0.174 0.672 1


# 15
# Na2NiPbF6 | Alexandria via LeMat-Bulk | GGA+U | relaxed
# VASP energy = -4.445 eV per atom
# V = 14.89 A^3/atom
# Crystal system = triclinic
data_Na2NiPbF6
_cell_length_a 5.831
_cell_length_b 5.841
_cell_length_c 5.871
_cell_angle_alpha 62.42
_cell_angle_beta 62.38
_cell_angle_gamma 62.36
_symmetry_space_group_name_H-M 'P -1'
_symmetry_Int_Tables_number 2
loop_
_symmetry_equiv_pos_as_xyz
'x,y,z'
'-x,-y,-z'
loop_
_atom_site_label
_atom_site_fract_x
_atom_site_fract_y
_atom_site_fract_z
_atom_site_occupancy
Na1 0.204 0.252 0.250 1
Ni1 0.000 0.000 0.000 1
Pb1 0.500 0.500 0.500 1
F1 0.133 0.849 0.320 1
F2 0.138 0.316 0.853 1
F3 0.375 0.781 0.784 1


# 16
# Na2Ni3PbF12 | Alexandria via LeMat-Bulk | GGA+U | relaxed
# VASP energy = -4.116 eV per atom
# V = 14.07 A^3/atom
# Crystal system = trigonal
data_Na2Ni3PbF12
_cell_length_a 7.3544
_cell_length_b 7.3544
_cell_length_c 16.2149
_cell_angle_alpha 90.00
_cell_angle_beta 90.00
_cell_angle_gamma 120.00
_symmetry_space_group_name_H-M 'R -3 m'
_symmetry_Int_Tables_number 166
_symmetry_space_group_name_Hall '-R 3 2"'
loop_
_atom_site_label
_atom_site_fract_x
_atom_site_fract_y
_atom_site_fract_z
_atom_site_occupancy
Na1 0.0000 0.0000 0.1332 1
Ni1 0.0000 0.5000 0.0000 1
Pb1 0.0000 0.0000 0.5000 1
F1 0.0489 0.5245 0.8832 1
F2 0.0771 0.5385 0.3085 1


# 17
# Na2NiPbF8 | Alexandria via LeMat-Bulk | GGA+U | relaxed
# VASP energy = -4.268 eV per atom
# V = 14.69 A^3/atom
# Crystal system = monoclinic
data_Na2NiPbF8
_cell_length_a 5.099
_cell_length_b 6.700
_cell_length_c 5.168
_cell_angle_alpha 90.00
_cell_angle_beta 93.32
_cell_angle_gamma 90.00
_symmetry_space_group_name_H-M 'P 1 2/m 1'
_symmetry_Int_Tables_number 10
loop_
_symmetry_equiv_pos_as_xyz
'x,y,z'
'-x,-y,-z'
'-x,y,-z'
'x,-y,z'
loop_
_atom_site_label
_atom_site_fract_x
_atom_site_fract_y
_atom_site_fract_z
_atom_site_occupancy
Na1 0.000 0.229 0.000 1
Ni1 0.500 0.000 0.500 1
Pb1 0.500 0.500 0.500 1
F1 0.212 0.500 0.197 1
F2 0.234 0.000 0.223 1
F3 0.312 0.254 0.673 1


# 18
# NaNiPd2F6 | Alexandria via LeMat-Bulk | GGA+U | relaxed
# VASP energy = -4.127 eV per atom
# V = 14.04 A^3/atom
# Crystal system = triclinic
data_NaNiPd2F6
_cell_length_a 5.601
_cell_length_b 5.618
_cell_length_c 6.031
_cell_angle_alpha 62.73
_cell_angle_beta 89.71
_cell_angle_gamma 60.35
_symmetry_space_group_name_H-M 'P 1'
_symmetry_Int_Tables_number 1
loop_
_symmetry_equiv_pos_as_xyz
'x,y,z'
loop_
_atom_site_label
_atom_site_fract_x
_atom_site_fract_y
_atom_site_fract_z
_atom_site_occupancy
Na1 0.000 0.000 0.000 1
Ni1 0.515 0.967 0.540 1
Pd1 0.202 0.594 0.599 1
Pd2 0.710 0.576 0.127 1
F1 0.157 0.070 0.335 1
F2 0.306 0.092 0.788 1
F3 0.425 0.423 0.334 1
F4 0.603 0.511 0.796 1
F5 0.770 0.808 0.333 1
F6 0.882 0.805 0.796 1


# 19
# Na2NiPdF8 | Alexandria via LeMat-Bulk | GGA+U | relaxed
# VASP energy = -4.125 eV per atom
# V = 13.86 A^3/atom
# Crystal system = triclinic
data_Na2NiPdF8
_cell_length_a 5.030
_cell_length_b 5.085
_cell_length_c 6.514
_cell_angle_alpha 89.95
_cell_angle_beta 89.95
_cell_angle_gamma 86.36
_symmetry_space_group_name_H-M 'P -1'
_symmetry_Int_Tables_number 2
loop_
_symmetry_equiv_pos_as_xyz
'x,y,z'
'-x,-y,-z'
loop_
_atom_site_label
_atom_site_fract_x
_atom_site_fract_y
_atom_site_fract_z
_atom_site_occupancy
Na1 0.000 0.000 0.240 1
Ni1 0.500 0.500 0.000 1
Pd1 0.500 0.500 0.500 1
F1 0.221 0.782 0.500 1
F2 0.226 0.775 0.000 1
F3 0.324 0.329 0.271 1
F4 0.324 0.329 0.729 1


# 20
# Na2Ni3PdF12 | Alexandria via LeMat-Bulk | GGA+U | relaxed
# VASP energy = -4.107 eV per atom
# V = 14.98 A^3/atom
# Crystal system = trigonal
data_Na2Ni3PdF12
_cell_length_a 7.0794
_cell_length_b 7.0794
_cell_length_c 18.6431
_cell_angle_alpha 90.00
_cell_angle_beta 90.00
_cell_angle_gamma 120.00
_symmetry_space_group_name_H-M 'R -3 m'
_symmetry_Int_Tables_number 166
_symmetry_space_group_name_Hall '-R 3 2"'
loop_
_atom_site_label
_atom_site_fract_x
_atom_site_fract_y
_atom_site_fract_z
_atom_site_occupancy
Na1 0.0000 0.0000 0.0804 1
Ni1 0.0000 0.5000 0.0000 1
Pd1 0.0000 0.0000 0.5000 1
F1 0.0491 0.5246 0.3620 1
F2 0.0687 0.5343 0.1089 1


# 21
# Na2PmNi3F12 | Alexandria via LeMat-Bulk | GGA+U | relaxed
# VASP energy = -4.661 eV per atom
# V = 13.72 A^3/atom
# Crystal system = trigonal
data_Na2PmNi3F12
_cell_length_a 7.3901
_cell_length_b 7.3901
_cell_length_c 15.6693
_cell_angle_alpha 90.00
_cell_angle_beta 90.00
_cell_angle_gamma 120.00
_symmetry_space_group_name_H-M 'R -3 m'
_symmetry_Int_Tables_number 166
_symmetry_space_group_name_Hall '-R 3 2"'
loop_
_atom_site_label
_atom_site_fract_x
_atom_site_fract_y
_atom_site_fract_z
_atom_site_occupancy
Na1 0.0000 0.0000 0.1337 1
Pm1 0.0000 0.0000 0.5000 1
Ni1 0.0000 0.5000 0.0000 1
F1 0.0385 0.5192 0.8769 1
F2 0.0861 0.5431 0.3025 1